(1)
Here is a relaxed SrYAuSe3 crystal from OQMD via LeMat-Bulk. Energies are from PBE-GGA.

Results
* spin magnetization: 0.00 μB/cell
* DFT total energy: -30.7 eV per formula unit
* space-group type: No. 11

Cell lengths 8.038, 4.116, 9.864 Å; angles 90.00, 105.86, 90.00 degrees
Positions (direct):
Sr  0.235  0.250  0.282
Sr  0.765  0.750  0.718
Y  0.314  0.750  0.835
Y  0.686  0.250  0.165
Au  0.107  0.250  0.592
Au  0.893  0.750  0.408
Se  0.066  0.250  0.847
Se  0.298  0.750  0.538
Se  0.427  0.750  0.139
Se  0.573  0.250  0.861
Se  0.702  0.250  0.462
Se  0.934  0.750  0.153


(2)
Here is a relaxed Ta3AuSe5 crystal from OQMD via LeMat-Bulk. Energies are from PBE-GGA.

Results
* spin magnetization: 0.00 μB/cell
* DFT total energy: -58.5 eV per formula unit
* space-group type: No. 191

Cell lengths 5.750, 5.750, 7.595 Å; angles 90.00, 90.00, 120.00 degrees
Positions (direct):
Ta  0.000  0.500  0.000
Ta  0.500  0.000  0.000
Ta  0.500  0.500  0.000
Au  0.000  0.000  0.500
Se  0.000  0.000  0.000
Se  0.333  0.667  0.267
Se  0.333  0.667  0.733
Se  0.667  0.333  0.267
Se  0.667  0.333  0.733


(3)
Here is a relaxed TaTlTeAuSe2 crystal from OQMD via LeMat-Bulk. Energies are from PBE-GGA.

Results
* spin magnetization: 0.03 μB/cell
* DFT total energy: -29.3 eV per formula unit
* space-group type: No. 63

Cell lengths 8.294, 8.294, 10.495 Å; angles 90.00, 90.00, 154.63 degrees
Positions (direct):
Ta  0.000  0.000  0.000
Ta  0.000  0.000  0.500
Tl  0.228  0.772  0.750
Tl  0.772  0.228  0.250
Te  0.084  0.916  0.250
Te  0.916  0.084  0.750
Au  0.448  0.552  0.250
Au  0.552  0.448  0.750
Se  0.383  0.617  0.030
Se  0.383  0.617  0.470
Se  0.617  0.383  0.530
Se  0.617  0.383  0.970


(4)
Here is a relaxed TaTlTe2AuSe crystal from OQMD via LeMat-Bulk. Energies are from PBE-GGA.

Results
* spin magnetization: 0.83 μB/cell
* DFT total energy: -28.2 eV per formula unit
* space-group type: No. 63

Cell lengths 8.149, 8.149, 10.300 Å; angles 90.00, 90.00, 152.78 degrees
Positions (direct):
Ta  0.000  0.000  0.000
Ta  0.000  0.000  0.500
Tl  0.245  0.755  0.750
Tl  0.755  0.245  0.250
Te  0.367  0.633  0.028
Te  0.367  0.633  0.472
Te  0.633  0.367  0.528
Te  0.633  0.367  0.972
Au  0.457  0.543  0.250
Au  0.543  0.457  0.750
Se  0.071  0.929  0.250
Se  0.929  0.071  0.750


(5)
Here is a relaxed TaTlAuSe3 crystal from OQMD via LeMat-Bulk. Energies are from PBE-GGA.

Results
* spin magnetization: 0.02 μB/cell
* DFT total energy: -30.0 eV per formula unit
* space-group type: No. 63

Cell lengths 7.954, 7.954, 10.192 Å; angles 90.00, 90.00, 153.53 degrees
Positions (direct):
Ta  0.000  0.000  0.000
Ta  0.000  0.000  0.500
Tl  0.246  0.754  0.750
Tl  0.754  0.246  0.250
Au  0.441  0.559  0.250
Au  0.559  0.441  0.750
Se  0.071  0.929  0.250
Se  0.377  0.623  0.023
Se  0.377  0.623  0.477
Se  0.623  0.377  0.523
Se  0.623  0.377  0.977
Se  0.929  0.071  0.750


(6)
Here is a relaxed Tb3AuSe6 crystal from OQMD via LeMat-Bulk. Energies are from PBE-GGA.

Results
* spin magnetization: 0.00 μB/cell
* DFT total energy: -51.6 eV per formula unit
* space-group type: No. 2

Cell lengths 4.382, 7.076, 8.837 Å; angles 89.00, 78.32, 82.22 degrees
Positions (direct):
Tb  0.000  0.000  0.000
Tb  0.354  0.552  0.272
Tb  0.646  0.448  0.728
Au  0.000  0.000  0.500
Se  0.151  0.672  0.603
Se  0.202  0.164  0.706
Se  0.432  0.267  0.029
Se  0.568  0.733  0.971
Se  0.798  0.836  0.294
Se  0.849  0.328  0.397


(7)
Here is a relaxed TbAuSe2 crystal from OQMD via LeMat-Bulk. Energies are from PBE-GGA.

Results
* spin magnetization: 0.00 μB/cell
* DFT total energy: -19.4 eV per formula unit
* space-group type: No. 14

Cell lengths 6.305, 7.298, 7.966 Å; angles 90.00, 91.06, 90.00 degrees
Positions (direct):
Tb  0.175  0.038  0.252
Tb  0.175  0.462  0.752
Tb  0.825  0.538  0.248
Tb  0.825  0.962  0.748
Au  0.497  0.750  0.497
Au  0.497  0.750  0.997
Au  0.503  0.250  0.003
Au  0.503  0.250  0.503
Se  0.068  0.749  0.501
Se  0.068  0.751  0.001
Se  0.368  0.075  0.750
Se  0.368  0.425  0.250
Se  0.632  0.575  0.750
Se  0.632  0.925  0.250
Se  0.932  0.249  0.999
Se  0.932  0.251  0.499


(8)
Here is a relaxed TbTlAuSe3 crystal from OQMD via LeMat-Bulk. Energies are from PBE-GGA.

Results
* spin magnetization: 0.01 μB/cell
* DFT total energy: -25.9 eV per formula unit
* space-group type: No. 63

Cell lengths 7.579, 7.579, 10.785 Å; angles 90.00, 90.00, 149.15 degrees
Positions (direct):
Tb  0.000  0.000  0.000
Tb  0.000  0.000  0.500
Tl  0.241  0.759  0.750
Tl  0.759  0.241  0.250
Au  0.466  0.534  0.250
Au  0.534  0.466  0.750
Se  0.080  0.920  0.250
Se  0.363  0.637  0.051
Se  0.363  0.637  0.449
Se  0.637  0.363  0.551
Se  0.637  0.363  0.949
Se  0.920  0.080  0.750


(9)
Here is a relaxed TcAuSe2 crystal from OQMD via LeMat-Bulk. Energies are from PBE-GGA.

Results
* spin magnetization: 0.01 μB/cell
* DFT total energy: -21.4 eV per formula unit
* space-group type: No. 11

Cell lengths 5.878, 3.731, 8.068 Å; angles 90.00, 106.62, 90.00 degrees
Positions (direct):
Tc  0.195  0.250  0.011
Tc  0.805  0.750  0.989
Au  0.205  0.750  0.527
Au  0.795  0.250  0.473
Se  0.180  0.750  0.212
Se  0.345  0.750  0.848
Se  0.655  0.250  0.152
Se  0.820  0.250  0.788


(10)
Here is a relaxed Tc2AuSe4 crystal from OQMD via LeMat-Bulk. Energies are from PBE-GGA.

Results
* spin magnetization: 7.41 μB/cell
* DFT total energy: -38.5 eV per formula unit
* space-group type: No. 227

Cell lengths 7.563, 7.563, 7.563 Å; angles 60.00, 60.00, 60.00 degrees
Positions (direct):
Tc  0.000  0.000  0.000
Tc  0.000  0.000  0.500
Tc  0.000  0.500  0.000
Tc  0.500  0.000  0.000
Au  0.375  0.375  0.375
Au  0.625  0.625  0.625
Se  0.215  0.762  0.762
Se  0.238  0.238  0.238
Se  0.238  0.238  0.785
Se  0.238  0.785  0.238
Se  0.762  0.215  0.762
Se  0.762  0.762  0.215
Se  0.762  0.762  0.762
Se  0.785  0.238  0.238


(11)
Here is a relaxed Tc3AuSe2 crystal from OQMD via LeMat-Bulk. Energies are from PBE-GGA.

Results
* spin magnetization: 1.76 μB/cell
* DFT total energy: -37.4 eV per formula unit
* space-group type: No. 191

Cell lengths 5.612, 5.612, 3.846 Å; angles 90.00, 90.00, 120.00 degrees
Positions (direct):
Tc  0.000  0.500  0.000
Tc  0.500  0.000  0.000
Tc  0.500  0.500  0.000
Au  0.000  0.000  0.500
Se  0.333  0.667  0.500
Se  0.667  0.333  0.500


(12)
Here is a relaxed TlTcTeAuSe2 crystal from OQMD via LeMat-Bulk. Energies are from PBE-GGA.

Results
* spin magnetization: 3.36 μB/cell
* DFT total energy: -26.6 eV per formula unit
* space-group type: No. 63

Cell lengths 8.001, 8.001, 10.630 Å; angles 90.00, 90.00, 153.65 degrees
Positions (direct):
Tl  0.210  0.790  0.750
Tl  0.790  0.210  0.250
Tc  0.500  0.500  0.000
Tc  0.500  0.500  0.500
Te  0.467  0.533  0.250
Te  0.533  0.467  0.750
Au  0.140  0.860  0.250
Au  0.860  0.140  0.750
Se  0.116  0.884  0.017
Se  0.116  0.884  0.483
Se  0.884  0.116  0.517
Se  0.884  0.116  0.983


(13)
Here is a relaxed TlTcTe2AuSe crystal from OQMD via LeMat-Bulk. Energies are from PBE-GGA.

Results
* spin magnetization: 4.71 μB/cell
* DFT total energy: -25.5 eV per formula unit
* space-group type: No. 63

Cell lengths 8.001, 8.001, 10.325 Å; angles 90.00, 90.00, 151.91 degrees
Positions (direct):
Tl  0.237  0.763  0.750
Tl  0.763  0.237  0.250
Tc  0.000  0.000  0.000
Tc  0.000  0.000  0.500
Te  0.372  0.628  0.020
Te  0.372  0.628  0.480
Te  0.628  0.372  0.520
Te  0.628  0.372  0.980
Au  0.454  0.546  0.250
Au  0.546  0.454  0.750
Se  0.067  0.933  0.250
Se  0.933  0.067  0.750


(14)
Here is a relaxed TeAu2Se crystal from OQMD via LeMat-Bulk. Energies are from PBE-GGA.

Results
* DFT total energy: -13.5 eV per formula unit
* space-group type: No. 8

Cell lengths 9.022, 3.755, 6.386 Å; angles 90.00, 104.04, 90.00 degrees
Positions (direct):
Te  0.000  0.000  0.000
Te  0.500  0.500  0.000
Au  0.167  0.000  0.722
Au  0.167  0.500  0.243
Au  0.667  0.000  0.243
Au  0.667  0.500  0.722
Se  0.324  0.000  0.456
Se  0.824  0.500  0.456


(15)
Here is a relaxed Te6Au3Se4 crystal from OQMD via LeMat-Bulk. Energies are from PBE-GGA.

Results
* DFT total energy: -44.1 eV per formula unit
* space-group type: No. 2

Cell lengths 9.125, 9.393, 9.480 Å; angles 97.59, 107.04, 101.77 degrees
Positions (direct):
Te  0.007  0.202  0.241
Te  0.170  0.806  0.363
Te  0.215  0.499  0.694
Te  0.224  0.201  0.945
Te  0.385  0.805  0.067
Te  0.399  0.504  0.307
Te  0.601  0.496  0.693
Te  0.615  0.195  0.933
Te  0.776  0.799  0.055
Te  0.785  0.501  0.306
Te  0.830  0.194  0.637
Te  0.993  0.798  0.759
Au  0.080  0.800  0.060
Au  0.095  0.504  0.315
Au  0.315  0.503  0.001
Au  0.685  0.497  0.999
Au  0.905  0.496  0.685
Au  0.920  0.200  0.940
Se  0.133  0.190  0.632
Se  0.295  0.810  0.755
Se  0.320  0.195  0.248
Se  0.483  0.814  0.372
Se  0.517  0.186  0.628
Se  0.680  0.805  0.752
Se  0.705  0.190  0.245
Se  0.867  0.810  0.368


(16)
Here is a relaxed TlTe2WAuSe crystal from OQMD via LeMat-Bulk. Energies are from PBE-GGA.

Results
* spin magnetization: 2.88 μB/cell
* DFT total energy: -27.5 eV per formula unit
* space-group type: No. 63

Cell lengths 8.269, 8.269, 10.261 Å; angles 90.00, 90.00, 153.87 degrees
Positions (direct):
Tl  0.242  0.758  0.750
Tl  0.758  0.242  0.250
Te  0.371  0.629  0.021
Te  0.371  0.629  0.479
Te  0.629  0.371  0.521
Te  0.629  0.371  0.979
W  0.000  0.000  0.000
W  0.000  0.000  0.500
Au  0.451  0.549  0.250
Au  0.549  0.451  0.750
Se  0.067  0.933  0.250
Se  0.933  0.067  0.750


(17)
Here is a relaxed ZrTlTeAuSe2 crystal from OQMD via LeMat-Bulk. Energies are from PBE-GGA.

Results
* spin magnetization: 0.00 μB/cell
* DFT total energy: -28.4 eV per formula unit
* space-group type: No. 63

Cell lengths 7.912, 7.912, 10.786 Å; angles 90.00, 90.00, 151.11 degrees
Positions (direct):
Zr  0.000  0.000  0.000
Zr  0.000  0.000  0.500
Tl  0.223  0.777  0.750
Tl  0.777  0.223  0.250
Te  0.087  0.913  0.250
Te  0.913  0.087  0.750
Au  0.457  0.543  0.250
Au  0.543  0.457  0.750
Se  0.377  0.623  0.039
Se  0.377  0.623  0.461
Se  0.623  0.377  0.539
Se  0.623  0.377  0.961


(18)
Here is a relaxed ZrTlTeAuSe2 crystal from OQMD via LeMat-Bulk. Energies are from PBE-GGA.

Results
* spin magnetization: 0.01 μB/cell
* DFT total energy: -28.6 eV per formula unit
* space-group type: No. 11

Cell lengths 8.468, 4.020, 10.282 Å; angles 90.00, 111.56, 90.00 degrees
Positions (direct):
Zr  0.190  0.250  0.168
Zr  0.810  0.750  0.832
Tl  0.218  0.750  0.699
Tl  0.782  0.250  0.301
Te  0.426  0.750  0.128
Te  0.574  0.250  0.872
Au  0.418  0.750  0.389
Au  0.582  0.250  0.611
Se  0.046  0.250  0.874
Se  0.228  0.250  0.438
Se  0.772  0.750  0.562
Se  0.954  0.750  0.126


(19)
Here is a relaxed ThTlAuSe3 crystal from OQMD via LeMat-Bulk. Energies are from PBE-GGA.

Results
* spin magnetization: 0.01 μB/cell
* DFT total energy: -29.7 eV per formula unit
* space-group type: No. 63

Cell lengths 7.660, 7.660, 10.941 Å; angles 90.00, 90.00, 147.67 degrees
Positions (direct):
Th  0.000  0.000  0.000
Th  0.000  0.000  0.500
Tl  0.245  0.755  0.750
Tl  0.755  0.245  0.250
Au  0.463  0.537  0.250
Au  0.537  0.463  0.750
Se  0.077  0.923  0.250
Se  0.366  0.634  0.049
Se  0.366  0.634  0.451
Se  0.634  0.366  0.549
Se  0.634  0.366  0.951
Se  0.923  0.077  0.750


(20)
Here is a relaxed TlAu3Se2 crystal from OQMD via LeMat-Bulk. Energies are from PBE-GGA.

Results
* DFT total energy: -19.4 eV per formula unit
* space-group type: No. 12

Cell lengths 8.453, 8.453, 8.885 Å; angles 111.66, 111.66, 28.66 degrees
Positions (direct):
Tl  0.129  0.129  0.055
Tl  0.871  0.871  0.945
Au  0.051  0.051  0.396
Au  0.307  0.307  0.601
Au  0.384  0.384  0.376
Au  0.616  0.616  0.624
Au  0.693  0.693  0.399
Au  0.949  0.949  0.604
Se  0.213  0.213  0.769
Se  0.492  0.492  0.793
Se  0.508  0.508  0.207
Se  0.787  0.787  0.231